1.
A plane-wave DFT calculation with PBE-GGA was carried out for a geometry-optimized Pa2Sn5 structure.

Cell and atoms, written as extended XYZ:
```
14
Lattice="10.910 0.000 0.000 0.000 10.910 0.000 0.000 0.000 3.182" Properties=species:S:1:pos:R:3 pbc="T T T"
Pa 1.994 3.461 0.000
Pa 3.461 8.916 0.000
Pa 7.449 1.994 0.000
Pa 8.916 7.449 0.000
Sn 0.000 5.455 1.591
Sn 0.642 8.580 1.591
Sn 2.329 0.642 1.591
Sn 3.126 6.097 1.591
Sn 4.813 3.126 1.591
Sn 5.455 0.000 1.591
Sn 6.097 7.784 1.591
Sn 7.784 4.813 1.591
Sn 8.580 10.268 1.591
Sn 10.268 2.329 1.591
```

Calculated values
Crystal system: tetragonal
Symmetry: No. 127
Total magnetic moment in μB/cell: 0.01
Formation energy in eV per formula unit: -1.6

---

2.
A plane-wave DFT calculation with PBE-GGA was carried out for a geometry-optimized PaSn2 structure.

Cell and atoms, written as extended XYZ:
```
6
Lattice="2.233 -8.023 0.000 2.233 8.023 0.000 0.000 0.000 4.369" Properties=species:S:1:pos:R:3 pbc="T T T"
Pa 2.233 6.440 3.276
Pa 2.233 -6.440 1.092
Sn 2.233 4.012 1.092
Sn 2.233 1.095 3.276
Sn 2.233 -1.095 1.092
Sn 2.233 -4.012 3.276
```

Calculated values
Crystal system: orthorhombic
Symmetry: No. 63
Total magnetic moment in μB/cell: 0.00
Formation energy in eV per formula unit: -0.8

---

3.
A plane-wave DFT calculation with PBE-GGA was carried out for a geometry-optimized SrPa2Sn9 structure.

Cell and atoms, written as extended XYZ:
```
12
Lattice="4.698 0.000 0.000 0.000 4.698 0.000 0.000 0.000 14.244" Properties=species:S:1:pos:R:3 pbc="T T T"
Sr 0.000 0.000 0.000
Pa 0.000 0.000 4.869
Pa 0.000 0.000 9.375
Sn 0.000 2.349 2.512
Sn 0.000 2.349 7.122
Sn 0.000 2.349 11.732
Sn 2.349 0.000 2.512
Sn 2.349 0.000 7.122
Sn 2.349 0.000 11.732
Sn 2.349 2.349 0.000
Sn 2.349 2.349 4.807
Sn 2.349 2.349 9.437
```

Calculated values
Crystal system: tetragonal
Symmetry: No. 123
Total magnetic moment in μB/cell: 0.00
Formation energy in eV per formula unit: -3.8

---

4.
A plane-wave DFT calculation with PBE-GGA was carried out for a geometry-optimized Pa2TaSn structure.

Cell and atoms, written as extended XYZ:
```
4
Lattice="3.925 0.000 0.000 0.000 3.925 0.000 0.000 0.000 6.258" Properties=species:S:1:pos:R:3 pbc="T T T"
Pa 0.000 0.000 1.533
Pa 0.000 0.000 4.724
Ta 1.962 1.962 3.129
Sn 1.962 1.962 0.000
```

Calculated values
Crystal system: tetragonal
Symmetry: No. 123
Total magnetic moment in μB/cell: 0.00
Formation energy in eV per formula unit: 0.4

---

5.
A plane-wave DFT calculation with PBE-GGA was carried out for a geometry-optimized Pa2TaSn structure.

Cell and atoms, written as extended XYZ:
```
4
Lattice="4.392 0.000 0.000 0.000 4.392 0.000 0.000 0.000 4.719" Properties=species:S:1:pos:R:3 pbc="T T T"
Pa 0.000 2.196 0.000
Pa 2.196 0.000 0.000
Ta 0.000 0.000 2.360
Sn 2.196 2.196 2.360
```

Calculated values
Crystal system: tetragonal
Symmetry: No. 123
Total magnetic moment in μB/cell: 0.00
Formation energy in eV per formula unit: -0.2

---

6.
A plane-wave DFT calculation with PBE-GGA was carried out for a geometry-optimized PaTaSn2 structure.

Cell and atoms, written as extended XYZ:
```
4
Lattice="1.570 0.906 11.230 -1.570 0.906 11.230 0.000 -1.813 11.230" Properties=species:S:1:pos:R:3 pbc="T T T"
Pa 0.000 0.000 0.000
Ta 0.000 0.000 16.845
Sn 0.000 0.000 3.203
Sn 0.000 0.000 30.487
```

Calculated values
Crystal system: trigonal
Symmetry: No. 166
Total magnetic moment in μB/cell: 0.00
Formation energy in eV per formula unit: 0.9

---

7.
A plane-wave DFT calculation with PBE-GGA was carried out for a geometry-optimized Pa6TaSn10 structure.

Cell and atoms, written as extended XYZ:
```
17
Lattice="9.117 0.000 0.000 -4.559 7.896 0.000 0.000 0.000 6.100" Properties=species:S:1:pos:R:3 pbc="T T T"
Pa -1.771 3.067 1.558
Pa -2.788 4.829 4.542
Pa 3.541 0.000 1.558
Pa 1.771 3.067 4.542
Pa 5.576 0.000 4.542
Pa 2.788 4.829 1.558
Ta 0.000 0.000 3.050
Sn -1.149 1.991 4.715
Sn -3.409 5.905 1.385
Sn 2.299 0.000 4.715
Sn 1.149 1.991 1.385
Sn 0.000 5.264 0.000
Sn 0.000 5.264 3.050
Sn 4.559 2.632 0.000
Sn 4.559 2.632 3.050
Sn 6.819 0.000 1.385
Sn 3.409 5.905 4.715
```

Calculated values
Crystal system: trigonal
Symmetry: No. 162
Total magnetic moment in μB/cell: 0.00
Formation energy in eV per formula unit: -3.2

---

8.
A plane-wave DFT calculation with PBE-GGA was carried out for a geometry-optimized PaTaSn2 structure.

Cell and atoms, written as extended XYZ:
```
4
Lattice="4.424 0.000 0.000 0.000 4.424 0.000 0.000 0.000 4.696" Properties=species:S:1:pos:R:3 pbc="T T T"
Pa 0.000 0.000 0.000
Ta 2.212 2.212 0.000
Sn 0.000 2.212 2.348
Sn 2.212 0.000 2.348
```

Calculated values
Crystal system: tetragonal
Symmetry: No. 123
Total magnetic moment in μB/cell: 0.00
Formation energy in eV per formula unit: 0.3

---

9.
A plane-wave DFT calculation with PBE-GGA was carried out for a geometry-optimized PaTaSn2 structure.

Cell and atoms, written as extended XYZ:
```
4
Lattice="3.696 0.000 0.000 0.000 3.696 0.000 0.000 0.000 6.676" Properties=species:S:1:pos:R:3 pbc="T T T"
Pa 0.000 0.000 0.000
Ta 0.000 0.000 3.338
Sn 1.848 1.848 1.869
Sn 1.848 1.848 4.807
```

Calculated values
Crystal system: tetragonal
Symmetry: No. 123
Total magnetic moment in μB/cell: 0.00
Formation energy in eV per formula unit: 0.3

---

10.
A plane-wave DFT calculation with PBE-GGA was carried out for a geometry-optimized Pa2TaSn structure.

Cell and atoms, written as extended XYZ:
```
4
Lattice="0.000 3.648 3.648 3.648 0.000 3.648 3.648 3.648 0.000" Properties=species:S:1:pos:R:3 pbc="T T T"
Pa 1.824 1.824 1.824
Pa 5.471 5.471 5.471
Ta 0.000 0.000 0.000
Sn 3.648 3.648 3.648
```

Calculated values
Crystal system: cubic
Symmetry: No. 225
Total magnetic moment in μB/cell: 0.00
Formation energy in eV per formula unit: 0.9

---

11.
A plane-wave DFT calculation with PBE-GGA was carried out for a geometry-optimized TbPaSn structure.

Cell and atoms, written as extended XYZ:
```
6
Lattice="3.910 0.000 0.000 0.000 3.910 0.000 0.000 0.000 10.411" Properties=species:S:1:pos:R:3 pbc="T T T"
Tb 0.977 0.977 1.039
Tb 2.932 2.932 9.372
Pa 0.977 0.977 4.585
Pa 2.932 2.932 5.826
Sn 0.977 0.977 7.721
Sn 2.932 2.932 2.690
```

Calculated values
Crystal system: tetragonal
Symmetry: No. 129
Total magnetic moment in μB/cell: 0.00
Formation energy in eV per formula unit: -0.7

---

12.
A plane-wave DFT calculation with PBE-GGA was carried out for a geometry-optimized TbPaSn structure.

Cell and atoms, written as extended XYZ:
```
3
Lattice="-1.658 1.658 7.349 1.658 -1.658 7.349 1.658 1.658 -7.349" Properties=species:S:1:pos:R:3 pbc="T T T"
Tb 0.000 0.000 0.000
Pa 0.000 0.000 9.960
Sn 0.000 0.000 4.961
```

Calculated values
Crystal system: tetragonal
Symmetry: No. 107
Total magnetic moment in μB/cell: 0.00
Formation energy in eV per formula unit: -0.4

---

Question: What is the total magnetic moment in the eighth record?
Answer: 0.00 μB/cell

---

Question: Which value of formation energy does entry 9 give?
Answer: 0.3 eV per formula unit

---

Question: What is the formula in the fifth record?
Answer: Pa2TaSn

---

Question: What is the formula in the second record?
Answer: PaSn2